[1]
! K2RbPrBr6, optimized geometry, DFT PBE; values from VASP
! * energy relative to the lowest polymorph listed for this composition: 108 meV/atom
! * SG: Fm-3m (225)
&SYSTEM
  ibrav = 0, nat = 10, ntyp = 4
/
ATOMIC_SPECIES
K 39.10 K.upf
Rb 85.47 Rb.upf
Pr 140.91 Pr.upf
Br 79.90 Br.upf
ATOMIC_POSITIONS crystal
K 0.7500 0.7500 0.7500
K 0.2500 0.2500 0.2500
Rb 0.5000 0.5000 0.5000
Pr 0.0000 0.0000 0.0000
Br 0.2357 0.7643 0.2357
Br 0.7643 0.2357 0.2357
Br 0.7643 0.2357 0.7643
Br 0.2357 0.2357 0.7643
Br 0.7643 0.7643 0.2357
Br 0.2357 0.7643 0.7643
CELL_PARAMETERS angstrom
0.0000 6.1510 6.1510
6.1510 0.0000 6.1510
6.1510 6.1510 0.0000



[2]
! KPrSeBr, optimized geometry, DFT PBE; values from VASP
! * SG: R3m (160)
&SYSTEM
  ibrav = 0, nat = 4, ntyp = 4
/
ATOMIC_SPECIES
K 39.10 K.upf
Pr 140.91 Pr.upf
Se 78.96 Se.upf
Br 79.90 Br.upf
ATOMIC_POSITIONS crystal
K 0.4866 0.1411 0.6431
Pr 0.1212 0.9586 0.0949
Se 0.3182 0.5570 0.8906
Br 0.9519 0.3741 0.3410
CELL_PARAMETERS angstrom
4.2469 -0.0004 -0.0003
-2.1228 3.6784 -0.0002
-2.1228 -1.2264 8.1826



[3]
! KSr2PrBr8, optimized geometry, DFT PBE; values from VASP
! * SG: P2/m (10)
&SYSTEM
  ibrav = 0, nat = 12, ntyp = 4
/
ATOMIC_SPECIES
K 39.10 K.upf
Sr 87.62 Sr.upf
Pr 140.91 Pr.upf
Br 79.90 Br.upf
ATOMIC_POSITIONS crystal
K 0.0000 0.0000 0.5000
Sr 0.5000 0.5000 0.7484
Sr 0.5000 0.5000 0.2516
Pr 0.0000 0.0000 0.0000
Br 0.1605 0.7637 0.2225
Br 0.6702 0.7417 0.0000
Br 0.8394 0.2362 0.2224
Br 0.8395 0.2363 0.7775
Br 0.3298 0.2583 0.0000
Br 0.1606 0.7638 0.7776
Br 0.6361 0.7355 0.5000
Br 0.3639 0.2645 0.5000
CELL_PARAMETERS angstrom
7.2752 -0.0151 -0.0044
0.0273 6.9446 -0.0075
0.0062 0.0113 9.4782



Uncorrected energy values, unit eV per formula unit, following the record order: -35.1; -17.2; -46.2.
DOS at the Fermi energy values, unit states/eV per atom, following the record order: 0.00; 0.60; 0.00.